Entry 1:
# PBE-GGA FeReMo2, relaxed
# electronic total energy: -10.5194 eV/atom
# ΔE to the lowest computed polymorph: 0.0360 eV per atom
# calculated formation energy: 0.1239 eV/atom
# calculated volume: 118.34 Å³ per cell
data_FeReMo2
_chemical_formula_sum 'Fe2 Re2 Mo4'
_symmetry_space_group_name_H-M 'I m m 2'
_symmetry_Int_Tables_number 44
_cell_length_a 3.131
_cell_length_b 4.355
_cell_length_c 8.678
_cell_angle_alpha 90.00
_cell_angle_beta 90.00
_cell_angle_gamma 90.00
loop_
_symmetry_equiv_pos_as_xyz
'x,y,z'
'-x,-y,z'
'-x,y,z'
'x,-y,z'
'x+1/2,y+1/2,z+1/2'
'-x+1/2,-y+1/2,z+1/2'
'-x+1/2,y+1/2,z+1/2'
'x+1/2,-y+1/2,z+1/2'
loop_
_atom_site_label
_atom_site_type_symbol
_atom_site_fract_x
_atom_site_fract_y
_atom_site_fract_z
_atom_site_occupancy
Fe1 Fe 0.000 0.000 0.000 1
Re1 Re 0.000 0.500 0.248 1
Mo1 Mo 0.000 0.000 0.500 1
Mo2 Mo 0.000 0.500 0.752 1

Entry 2:
# PBE-GGA AlCrNiOs, relaxed
# electronic total energy: -7.8109 eV/atom
# calculated formation energy: -0.2166 eV/atom
# calculated volume: 206.41 Å³ per cell
data_AlCrNiOs
_chemical_formula_sum 'Al4 Cr4 Ni4 Os4'
_symmetry_space_group_name_H-M 'F -4 3 m'
_symmetry_Int_Tables_number 216
_symmetry_space_group_name_Hall 'F -4 2 3'
_cell_length_a 5.910
_cell_length_b 5.910
_cell_length_c 5.910
_cell_angle_alpha 90.00
_cell_angle_beta 90.00
_cell_angle_gamma 90.00
loop_
_atom_site_label
_atom_site_type_symbol
_atom_site_fract_x
_atom_site_fract_y
_atom_site_fract_z
_atom_site_occupancy
Al1 Al 0.000 0.000 0.000 1
Cr1 Cr 0.000 0.000 0.500 1
Ni1 Ni 0.250 0.250 0.750 1
Os1 Os 0.250 0.250 0.250 1

Entry 3:
# PBE-GGA Ca2Ac15Ho2, relaxed
# electronic total energy: -3.6679 eV/atom
# calculated formation energy: 0.2682 eV/atom
# calculated volume: 2641.84 Å³ per cell
data_Ca2Ac15Ho2
_chemical_formula_sum 'Ca6 Ac45 Ho6'
_symmetry_space_group_name_H-M 'R -3 m'
_symmetry_Int_Tables_number 166
_symmetry_space_group_name_Hall '-R 3 2"'
_cell_length_a 12.6043
_cell_length_b 12.6043
_cell_length_c 19.2015
_cell_angle_alpha 90.00
_cell_angle_beta 90.00
_cell_angle_gamma 120.00
loop_
_atom_site_label
_atom_site_type_symbol
_atom_site_fract_x
_atom_site_fract_y
_atom_site_fract_z
_atom_site_occupancy
Ca1 Ca 0.0000 0.0000 0.1757 1
Ac1 Ac 0.0000 0.2932 0.5000 1
Ac2 Ac 0.0000 0.5000 0.0000 1
Ac3 Ac 0.0011 0.5006 0.6430 1
Ho1 Ho 0.0000 0.0000 0.4085 1

Entry 4:
# PBE-GGA TiCoSeN2, relaxed
# electronic total energy: -6.3744 eV/atom
# ΔE to the lowest computed polymorph: 0.0766 eV per atom
# energy relative to the elements, uncorrected: 653 meV/atom
# calculated volume: 63.77 Å³ per cell
data_TiCoSeN2
_chemical_formula_sum 'Ti1 Co1 Se1 N2'
_symmetry_space_group_name_H-M 'P 4/m m m'
_symmetry_Int_Tables_number 123
_symmetry_space_group_name_Hall '-P 4 2'
_cell_length_a 3.676
_cell_length_b 3.676
_cell_length_c 4.718
_cell_angle_alpha 90.00
_cell_angle_beta 90.00
_cell_angle_gamma 90.00
loop_
_atom_site_label
_atom_site_type_symbol
_atom_site_fract_x
_atom_site_fract_y
_atom_site_fract_z
_atom_site_occupancy
Ti1 Ti 0.000 0.000 0.000 1
Co1 Co 0.500 0.500 0.500 1
Se1 Se 0.500 0.500 0.000 1
N1 N 0.000 0.500 0.500 1

Entry 5:
# PBE-GGA Co2Re2Te, relaxed
# electronic total energy: -7.9243 eV/atom
# ΔE to the lowest computed polymorph: 0.0000 eV per atom
# energy relative to the elements, uncorrected: 526 meV/atom
# calculated volume: 145.77 Å³ per cell
data_Co2Re2Te
_chemical_formula_sum 'Co4 Re4 Te2'
_symmetry_space_group_name_H-M 'P 4/m b m'
_symmetry_Int_Tables_number 127
_symmetry_space_group_name_Hall '-P 4 2ab'
_cell_length_a 6.172
_cell_length_b 6.172
_cell_length_c 3.826
_cell_angle_alpha 90.00
_cell_angle_beta 90.00
_cell_angle_gamma 90.00
loop_
_atom_site_label
_atom_site_type_symbol
_atom_site_fract_x
_atom_site_fract_y
_atom_site_fract_z
_atom_site_occupancy
Co1 Co 0.131 0.369 0.000 1
Re1 Re 0.148 0.648 0.500 1
Te1 Te 0.000 0.000 0.000 1

Entry 6:
# PBE-GGA CsRb3Mg, relaxed
# electronic total energy: -0.5346 eV/atom
# ΔE to the lowest computed polymorph: 0.3585 eV per atom
# calculated formation energy: 0.5356 eV/atom
# calculated volume: 657.04 Å³ per cell
data_CsRb3Mg
_chemical_formula_sum 'Cs1 Rb3 Mg1'
_symmetry_space_group_name_H-M 'P m -3 m'
_symmetry_Int_Tables_number 221
_symmetry_space_group_name_Hall '-P 4 2 3'
_cell_length_a 8.694
_cell_length_b 8.694
_cell_length_c 8.694
_cell_angle_alpha 90.00
_cell_angle_beta 90.00
_cell_angle_gamma 90.00
loop_
_atom_site_label
_atom_site_type_symbol
_atom_site_fract_x
_atom_site_fract_y
_atom_site_fract_z
_atom_site_occupancy
Cs1 Cs 0.000 0.000 0.000 1
Rb1 Rb 0.000 0.000 0.500 1
Mg1 Mg 0.500 0.500 0.500 1

Entry 7:
# PBE-GGA CsK2SeF, relaxed
# electronic total energy: -3.3638 eV/atom
# ΔE to the lowest computed polymorph: 0.0000 eV per atom
# energy relative to the elements, uncorrected: -1683 meV/atom
# calculated volume: 694.05 Å³ per cell
data_CsK2SeF
_chemical_formula_sum 'Cs4 K8 Se4 F4'
_symmetry_space_group_name_H-M 'C m c m'
_symmetry_Int_Tables_number 63
_symmetry_space_group_name_Hall '-C 2c 2'
_cell_length_a 4.832
_cell_length_b 14.935
_cell_length_c 9.618
_cell_angle_alpha 90.00
_cell_angle_beta 90.00
_cell_angle_gamma 90.00
loop_
_atom_site_label
_atom_site_type_symbol
_atom_site_fract_x
_atom_site_fract_y
_atom_site_fract_z
_atom_site_occupancy
Cs1 Cs 0.000 0.049 0.250 1
K1 K 0.000 0.336 0.058 1
Se1 Se 0.000 0.242 0.750 1
F1 F 0.000 0.500 0.000 1

Entry 8:
# PBE-GGA Cu2NiW, relaxed
# electronic total energy: -6.4034 eV/atom
# ΔE to the lowest computed polymorph: 0.2205 eV per atom
# calculated formation energy: 0.3283 eV/atom
# calculated volume: 101.26 Å³ per cell
data_Cu2NiW
_chemical_formula_sum 'Cu4 Ni2 W2'
_symmetry_space_group_name_H-M 'I 4/m m m'
_symmetry_Int_Tables_number 139
_symmetry_space_group_name_Hall '-I 4 2'
_cell_length_a 3.802
_cell_length_b 3.802
_cell_length_c 7.003
_cell_angle_alpha 90.00
_cell_angle_beta 90.00
_cell_angle_gamma 90.00
loop_
_atom_site_label
_atom_site_type_symbol
_atom_site_fract_x
_atom_site_fract_y
_atom_site_fract_z
_atom_site_occupancy
Cu1 Cu 0.000 0.500 0.250 1
Ni1 Ni 0.000 0.000 0.000 1
W1 W 0.000 0.000 0.500 1